Version a
CoRe3W | PBE | relaxed

The structure in POSCAR format:
```
CoRe3W
1.0
4.680 0.000 0.000
0.000 4.680 0.000
0.000 0.000 4.680
Co Re W
1 3 1
Cartesian
0.000 0.000 0.000
0.000 2.340 2.340
2.340 0.000 2.340
2.340 2.340 0.000
2.340 2.340 2.340
```

## Properties
DOS(E_F) = 6.833 states/eV/f.u.
M_tot = 0.000 μB/atom
Space-group type = No. 221

---

Version b
CoRe3W | PBE | relaxed

The structure in POSCAR format:
```
CoRe3W
1.0
4.360 0.000 0.000
0.000 4.360 0.000
0.000 0.000 4.360
Co Re W
1 3 1
Cartesian
0.000 0.000 0.000
0.000 0.000 2.180
0.000 2.180 0.000
2.180 0.000 0.000
2.180 2.180 2.180
```

## Properties
DOS(E_F) = 8.182 states/eV/f.u.
M_tot = 0.000 μB/atom
Space-group type = No. 221

---

Which of them is the most stable, and which is the least stable? version b and version a, in that order.